Record 1
The following is a DFT calculation (PBE-GGA) of a geometry-optimized TbGdPt2 structure.

Values from the calculation:
For the density of states at the Fermi level, the calculation gives 2.16 states/eV/cell. The calculation puts the formation energy at -432 kJ/mol of formula units. The theoretical density is 12.08 g cm⁻³. As for the total energy: -8.818 eV/atom.

Cell: 7.1067 7.1067 7.1067 Å, 33.44 33.44 33.44°
With the nearest neighbours (Å) after each atom.
Positions (direct):
1 Tb 0.0000 0.0000 0.0000  6 Pt 2.89
2 Gd 0.5000 0.5000 0.5000  6 Pt 2.90
3 Pt 0.2508 0.2508 0.2508  3 Tb 2.89, 3 Gd 2.90
4 Pt 0.7492 0.7492 0.7492  3 Tb 2.89, 3 Gd 2.90



Record 2
The following is a DFT calculation (PBE-GGA) of a geometry-optimized TbGd2Pt structure.

Values from the calculation:
For the density of states at the Fermi level, the calculation gives 4.63 states/eV/cell. The calculation puts the formation energy at -114 kJ/mol of formula units. The theoretical density is 8.66 g cm⁻³. For the energy relative to the lowest polymorph listed for this composition, the calculation gives 259 meV per atom. As for the total energy: -10.003 eV/atom.

Cell: 10.7503 10.7503 10.7503 Å, 20.08 20.08 20.08°
With the nearest neighbours (Å) after each atom.
Positions (direct):
1 Tb 0.0000 0.0000 0.0000  2 Gd 3.46, 6 Tb 3.75
2 Gd 0.1096 0.1096 0.1096  3 Pt 2.82
3 Gd 0.8904 0.8904 0.8904  3 Pt 2.82
4 Pt 0.5000 0.5000 0.5000  6 Gd 2.82



Record 3
The following is a DFT calculation (PBE-GGA) of a geometry-optimized TbGdZnPt structure.

Values from the calculation:
For the density of states at the Fermi level, the calculation gives 2.70 states/eV/cell. The calculation puts the formation energy at -295 kJ/mol of formula units. The theoretical density is 10.70 g cm⁻³. As for the total energy: -7.272 eV/atom.

Cell: 5.0207 5.0207 5.0207 Å, 60.00 60.00 60.00°
With the nearest neighbours (Å) after each atom.
Positions (direct):
1 Tb 0.0000 0.0000 0.0000  4 Zn 3.07, 4 Pt 3.07
2 Gd 0.5000 0.5000 0.5000  4 Pt 3.07, 4 Zn 3.07
3 Zn 0.7500 0.7500 0.7500  4 Tb 3.07, 4 Gd 3.07
4 Pt 0.2500 0.2500 0.2500  4 Gd 3.07, 4 Tb 3.07